DFT (PBE) results for a geometry-optimized Ba2BiO structure.

a = 7.8567 Å, b = 13.2695 Å, c = 6.5044 Å
α = 90.00°, β = 117.10°, γ = 90.00°
Closest atoms and distances in Å follow each position.
Space group C2/c (No. 15)
One atom of each set of equivalent atoms:
Ba1 0.2028 0.0955 0.1193 x8  2 O 2.50-2.51
Bi1 0.0000 0.3189 0.2500 x4  4 Ba 3.64-3.85
O1 0.0000 0.0057 0.7500 x4  4 Ba 2.50-2.51

Summary:
total magnetization: 0.00 μB/f.u.
offset from the most stable computed form: 0 meV per atom
Fermi-level density of states: 0.740 states/eV/f.u.
ΔE_f (raw): -1.582 eV/atom